Computed, not measured: a relaxed Ca2NbIr2 crystal at the PBE-GGA level of DFT.

a = 6.7408 Å, b = 6.7408 Å, c = 4.8024 Å
α = 90.00°, β = 90.00°, γ = 90.00°
With the nearest neighbours (Å) after each atom.
Positions (direct):
Ca: 0.1759 0.3241 0.0000  6 Ir 3.03-3.18, 1 Ca 3.35
Ca: 0.3241 0.8241 0.0000  6 Ir 3.03-3.18, 1 Ca 3.35
Ca: 0.6759 0.1759 0.0000  6 Ir 3.03-3.18, 1 Ca 3.35
Ca: 0.8241 0.6759 0.0000  6 Ir 3.03-3.18, 1 Ca 3.35
Nb: 0.0000 0.0000 0.5000  4 Ir 2.64
Nb: 0.5000 0.5000 0.5000  4 Ir 2.64
Ir: 0.1311 0.6311 0.5000  1 Ir 2.50, 2 Nb 2.64
Ir: 0.3689 0.1311 0.5000  1 Ir 2.50, 2 Nb 2.64
Ir: 0.6311 0.8689 0.5000  1 Ir 2.50, 2 Nb 2.64
Ir: 0.8689 0.3689 0.5000  1 Ir 2.50, 2 Nb 2.64

Computed properties:
Crystal system   tetragonal
Space-group type   P4/mbm (127)
Energy of formation   -0.27 eV/atom
Magnetic moment   0.00 μB per formula unit

***

Computed, not measured: a relaxed SmEr2S crystal at the PBE-GGA level of DFT.

a = 10.3057 Å, b = 10.3057 Å, c = 10.3057 Å
α = 20.24°, β = 20.24°, γ = 20.24°
With the nearest neighbours (Å) after each atom.
Positions (direct):
Sm: 0.0000 0.0000 0.0000  2 Er 3.41, 6 Sm 3.62
Er: 0.1126 0.1126 0.1126  3 S 2.66
Er: 0.8874 0.8874 0.8874  3 S 2.66
S: 0.5000 0.5000 0.5000  6 Er 2.66

Computed properties:
Crystal system   trigonal
E above lowest polymorph   0.208 eV/atom
Space-group type   R-3m (166)
Formation energy without anion corrections   -0.730 eV/atom
Magnetic moment   0.00 μB per formula unit

***

Computed, not measured: a relaxed Ce2Pm2Hg3 crystal at the PBE-GGA level of DFT.

a = 13.9202 Å, b = 13.9202 Å, c = 3.6242 Å
α = 90.00°, β = 90.00°, γ = 164.10°
With the nearest neighbours (Å) after each atom.
Positions (direct):
Ce: 0.2140 0.7860 0.0000  2 Ce 2.77
Ce: 0.7860 0.2140 0.0000  2 Ce 2.77
Pm: 0.0713 0.9287 0.0000  8 Hg 3.26-3.30, 2 Pm 3.62
Pm: 0.9287 0.0713 0.0000  8 Hg 3.26-3.30, 2 Pm 3.62
Hg: 0.3594 0.6406 0.5000  4 Pm 3.26, 4 Ce 3.33, 2 Hg 3.62
Hg: 0.5000 0.5000 0.5000  8 Pm 3.30, 2 Hg 3.62
Hg: 0.6406 0.3594 0.5000  4 Pm 3.26, 4 Ce 3.33, 2 Hg 3.62

Computed properties:
Crystal system   orthorhombic
Space-group type   Cmmm (65)
Energy of formation   -0.31 eV/atom
Magnetic moment   1.21 μB per formula unit

***

Computed, not measured: a relaxed Ho2BN crystal at the PBE-GGA level of DFT.

a = 6.5890 Å, b = 6.5890 Å, c = 6.5890 Å
α = 30.65°, β = 30.65°, γ = 30.65°
With the nearest neighbours (Å) after each atom.
Positions (direct):
Ho: 0.2402 0.2402 0.2402  3 N 2.44, 3 B 2.67
Ho: 0.7598 0.7598 0.7598  3 N 2.44, 3 B 2.67
B: 0.0000 0.0000 0.0000  6 Ho 2.67
N: 0.5000 0.5000 0.5000  6 Ho 2.44

Computed properties:
Crystal system   trigonal
Space-group type   R-3m (166)
Formation energy without anion corrections   -0.710 eV/atom
Magnetic moment   0.00 μB per formula unit

***

Computed, not measured: a relaxed AgMoIr2 crystal at the PBE-GGA level of DFT.

a = 2.8018 Å, b = 3.8414 Å, c = 5.7426 Å
α = 90.00°, β = 90.00°, γ = 90.00°
With the nearest neighbours (Å) after each atom.
Positions (direct):
Ag: 0.0000 0.0000 0.0000  2 Ag 2.80, 8 Ir 2.82, 2 Mo 2.87
Mo: 0.0000 0.0000 0.5000  8 Ir 2.74, 2 Mo 2.80, 2 Ag 2.87
Ir: 0.5000 0.5000 0.2629  4 Ir 2.72-3.02, 4 Mo 2.74, 4 Ag 2.82
Ir: 0.5000 0.5000 0.7371  4 Ir 2.72-3.02, 4 Mo 2.74, 4 Ag 2.82

Computed properties:
Crystal system   orthorhombic
E above lowest polymorph   0.075 eV/atom
Space-group type   Pmmm (47)
Energy of formation   0.09 eV/atom
Magnetic moment   0.00 μB per formula unit

***

Computed, not measured: a relaxed RbAlRePd2 crystal at the PBE-GGA level of DFT.

a = 4.8519 Å, b = 4.8519 Å, c = 4.8593 Å
α = 90.00°, β = 90.00°, γ = 90.00°
With the nearest neighbours (Å) after each atom.
Positions (direct):
Rb: 0.0000 0.0000 0.0000  4 Re 3.43, 8 Pd 3.43
Al: 0.5000 0.5000 0.5000  4 Pd 2.43, 2 Re 2.43
Re: 0.5000 0.5000 0.0000  2 Al 2.43
Pd: 0.0000 0.5000 0.5000  2 Al 2.43
Pd: 0.5000 0.0000 0.5000  2 Al 2.43

Computed properties:
Crystal system   tetragonal
Space-group type   P4/mmm (123)
Energy of formation   0.88 eV/atom
Magnetic moment   2.92 μB per formula unit

***

Computed, not measured: a relaxed SrBePt3 crystal at the PBE-GGA level of DFT.

a = 5.7678 Å, b = 5.7562 Å, c = 5.7727 Å
α = 90.00°, β = 105.96°, γ = 90.00°
With the nearest neighbours (Å) after each atom.
Positions (direct):
Sr: 0.2314 0.2500 0.2701  11 Pt 3.06-3.32, 2 Be 3.14
Sr: 0.7686 0.7500 0.7299  11 Pt 3.06-3.32, 2 Be 3.14
Be: 0.3680 0.7500 0.1324  5 Pt 2.31-2.33
Be: 0.6320 0.2500 0.8676  5 Pt 2.31-2.33
Pt: 0.1175 0.7500 0.3832  1 Be 2.31
Pt: 0.3016 0.0001 0.8023  2 Be 2.33
Pt: 0.3016 0.4999 0.8023  2 Be 2.33
Pt: 0.6984 0.9999 0.1977  2 Be 2.33
Pt: 0.6984 0.5001 0.1977  2 Be 2.33
Pt: 0.8825 0.2500 0.6168  1 Be 2.31

Computed properties:
Crystal system   monoclinic
E above lowest polymorph   0.113 eV/atom
Space-group type   P2_1/m (11)
Energy of formation   -0.63 eV/atom
Magnetic moment   0.00 μB per formula unit

***

Computed, not measured: a relaxed RbLiRh3 crystal at the PBE-GGA level of DFT.

a = 4.5010 Å, b = 4.5010 Å, c = 4.5010 Å
α = 90.00°, β = 90.00°, γ = 90.00°
With the nearest neighbours (Å) after each atom.
Positions (direct):
Rb: 0.0000 0.0000 0.0000  12 Rh 3.18
Li: 0.5000 0.5000 0.5000  6 Rh 2.25
Rh: 0.0000 0.5000 0.5000  2 Li 2.25
Rh: 0.5000 0.0000 0.5000  2 Li 2.25
Rh: 0.5000 0.5000 0.0000  2 Li 2.25

Computed properties:
Crystal system   cubic
E above lowest polymorph   0.000 eV/atom
Space-group type   Pm-3m (221)
Energy of formation   1.05 eV/atom
Magnetic moment   0.00 μB per formula unit

***

Computed, not measured: a relaxed TmThBeN3 crystal at the PBE-GGA level of DFT.

a = 6.8783 Å, b = 3.3527 Å, c = 7.1756 Å
α = 90.00°, β = 101.19°, γ = 90.00°
With the nearest neighbours (Å) after each atom.
Positions (direct):
Tm: 0.1804 0.2500 0.1551  6 N 2.30-2.41
Tm: 0.8196 0.7500 0.8449  6 N 2.30-2.41
Th: 0.2163 0.2500 0.6814  7 N 2.42-2.69
Th: 0.7837 0.7500 0.3186  7 N 2.42-2.69
Be: 0.3970 0.7500 0.4238  2 N 1.70-1.71
Be: 0.6030 0.2500 0.5762  2 N 1.70-1.71
N: 0.1436 0.7500 0.3831  1 Be 1.71
N: 0.1679 0.7500 0.9110  3 Tm 2.35-2.41, 2 Th 2.42
N: 0.4921 0.2500 0.3434  1 Be 1.70
N: 0.5079 0.7500 0.6566  1 Be 1.70
N: 0.8321 0.2500 0.0890  3 Tm 2.35-2.41, 2 Th 2.42
N: 0.8564 0.2500 0.6169  1 Be 1.71

Computed properties:
Crystal system   monoclinic
Space-group type   P2_1/m (11)
Formation energy without anion corrections   -1.452 eV/atom
Magnetic moment   0.00 μB per formula unit

***

Computed, not measured: a relaxed Mn2AgTe crystal at the PBE-GGA level of DFT.

a = 4.5006 Å, b = 4.5006 Å, c = 5.6798 Å
α = 105.00°, β = 105.00°, γ = 47.92°
With the nearest neighbours (Å) after each atom.
Positions (direct):
Mn: 0.2499 0.2499 0.2180  3 Ag 2.68-2.77, 3 Te 2.88-2.94
Mn: 0.7501 0.7501 0.7820  3 Ag 2.68-2.77, 3 Te 2.88-2.94
Ag: 0.5000 0.5000 0.0000  6 Mn 2.68-2.77
Te: 0.0000 0.0000 0.5000  6 Mn 2.88-2.94

Computed properties:
Crystal system   monoclinic
Space-group type   C2/m (12)
Formation energy without anion corrections   0.371 eV/atom
Magnetic moment   8.22 μB per formula unit

***

Computed, not measured: a relaxed KBeAu3 crystal at the PBE-GGA level of DFT.

a = 4.7182 Å, b = 4.7182 Å, c = 4.7182 Å
α = 90.00°, β = 90.00°, γ = 90.00°
With the nearest neighbours (Å) after each atom.
Positions (direct):
K: 0.0000 0.0000 0.0000  12 Au 3.34
Be: 0.5000 0.5000 0.5000  6 Au 2.36
Au: 0.0000 0.5000 0.5000  2 Be 2.36
Au: 0.5000 0.0000 0.5000  2 Be 2.36
Au: 0.5000 0.5000 0.0000  2 Be 2.36

Computed properties:
Crystal system   cubic
E above lowest polymorph   0.017 eV/atom
Space-group type   Pm-3m (221)
Energy of formation   -0.11 eV/atom
Magnetic moment   0.00 μB per formula unit

***

Computed, not measured: a relaxed HfFePCl2 crystal at the PBE-GGA level of DFT.

a = 4.7858 Å, b = 4.7858 Å, c = 5.1077 Å
α = 90.00°, β = 90.00°, γ = 90.00°
With the nearest neighbours (Å) after each atom.
Positions (direct):
Hf: 0.0000 0.0000 0.0000  4 Cl 2.39, 2 P 2.55
Fe: 0.5000 0.5000 0.5000  4 P 3.38, 8 Cl 3.50
P: 0.0000 0.0000 0.5000  2 Hf 2.55
Cl: 0.0000 0.5000 0.0000  2 Hf 2.39
Cl: 0.5000 0.0000 0.0000  2 Hf 2.39

Computed properties:
Crystal system   tetragonal
E above lowest polymorph   0.000 eV/atom
Space-group type   P4/mmm (123)
Formation energy without anion corrections   -0.027 eV/atom
Magnetic moment   3.53 μB per formula unit